1.
Density functional theory data (PBE) for a relaxed MgCo5 crystal.

Cell: 4.1342 2.5520 13.3999 Å, 90.00 90.00 90.00°
With the nearest neighbours (Å) after each atom.
Space group Amm2 (No. 38)
Unique sites:
Mg1 0.0000 0.0000 0.0000 (multiplicity 2)  2 Mg 2.55, 10 Co 2.58-2.66
Co1 0.0000 0.0000 0.3261 (multiplicity 2)  10 Co 2.40-2.55, 2 Mg 2.66
Co2 0.0000 0.0000 0.6743 (multiplicity 2)  10 Co 2.40-2.55, 2 Mg 2.66
Co3 0.5000 0.0000 0.1153 (multiplicity 2)  10 Co 2.52-2.73, 2 Mg 2.58
Co4 0.5000 0.0000 0.4353 (multiplicity 2)  8 Co 2.47-2.73, 4 Mg 2.58
Co5 0.5000 0.0000 0.7776 (multiplicity 2)  12 Co 2.47-2.55

Calculated values
For the electronic total energy, the calculation gives -36.387 eV per formula unit. The value obtained for the total magnetic moment is 7.714 μB/f.u. Its density of states at the Fermi level is 6.1 states/eV/f.u. As for the energy of formation: 123 meV per atom.

---

2.
Density functional theory data (PBE) for a relaxed MgCo crystal.

Cell: 5.1796 5.1796 5.0553 Å, 90.00 90.00 90.00°
With the nearest neighbours (Å) after each atom.
Space group P4_2/mnm (No. 136)
Unique sites:
Mg1 0.1886 0.1886 0.0000 (multiplicity 4)  4 Co 2.54-2.55, 1 Mg 2.76
Co1 0.1556 0.1556 0.5000 (multiplicity 4)  1 Co 2.28, 4 Mg 2.54-2.55

Calculated values
For the electronic total energy, the calculation gives -7.496 eV per formula unit. The value obtained for the total magnetic moment is 1.380 μB/f.u. Its density of states at the Fermi level is 2.5 states/eV/f.u. As for the energy of formation: 602 meV per atom.

---

3.
Density functional theory data (PBE) for a relaxed MgCo2 crystal.

Cell: 3.6613 3.6613 13.5283 Å, 90.00 90.00 90.00°
With the nearest neighbours (Å) after each atom.
Space group I4_1/amd (No. 141, origin choice 2)
Unique sites:
Mg1 0.0000 0.2500 0.3750 (multiplicity 4)  12 Co 2.82-2.92
Co1 0.0000 0.2500 0.7931 (multiplicity 8)  3 Co 2.17-2.21

Calculated values
For the electronic total energy, the calculation gives -14.794 eV per formula unit. The value obtained for the total magnetic moment is 2.501 μB/f.u. Its density of states at the Fermi level is 3.6 states/eV/f.u. As for the energy of formation: 337 meV per atom.